An optimized crystal structure of HfMgSnN2, computed with PBE-GGA.

Summary:
Its uncorrected formation energy is 1.638 eV per atom. The magnetization is 0.0 μB/f.u. The value obtained for the density of states at the Fermi level is 0.94 states/eV per atom. For the density, the calculation gives 5.74 g/cm3.

CIF file:
```
data_HfMgSnN2
_chemical_formula_sum 'Hf1 Mg1 Sn1 N2'
_space_group_name_H-M_alt 'P 4/m m m'
_space_group_IT_number 123
_space_group_name_Hall '-P 4 2'
_cell_length_a 4.2469
_cell_length_b 4.2469
_cell_length_c 5.6098
_cell_angle_alpha 90.00
_cell_angle_beta 90.00
_cell_angle_gamma 90.00
loop_
_atom_site_label
_atom_site_type_symbol
_atom_site_fract_x
_atom_site_fract_y
_atom_site_fract_z
Hf1 Hf 0.0000 0.0000 0.0000
Mg1 Mg 0.5000 0.5000 0.0000
Sn1 Sn 0.0000 0.0000 0.5000
N1 N 0.0000 0.5000 0.5000
```